FeMo2W: relaxed, PBE.

abc: 5.1327 5.1327 2.6204
angles: 90.00 90.00 117.54
Closest atoms and distances in Å follow each position.
Element x y z (fractional)
Mo (0.0000, 0.0000, 0.0000)  4 Mo 2.62-2.66, 4 Fe 2.88, 4 W 2.88
Mo (0.5000, 0.5000, 0.0000)  4 Mo 2.62-2.66, 4 W 2.88, 4 Fe 2.88
W (0.5000, 0.0000, 0.5000)  2 W 2.62, 2 Fe 2.66, 8 Mo 2.88
Fe (0.0000, 0.5000, 0.5000)  2 Fe 2.62, 2 W 2.66, 8 Mo 2.88

Summary:
Polymorph energy (0 for the lowest one) (eV/atom): 0.249
DOS(E_F) (states/eV/f.u.): 2.6
Calculated formation energy (eV per atom): 0.310
Total moment (μB/f.u.): 2.448
Volume (Å³ per cell): 61.2
Density (g/cm³): 11.7

---

FeMo5W6: relaxed, PBE.

abc: 5.2396 5.4774 8.2009
angles: 56.25 93.22 79.93
Closest atoms and distances in Å follow each position.
Element x y z (fractional)
Mo (0.3327, 0.8346, 0.3322)  4 W 2.71-2.75, 3 Mo 2.73-2.76, 1 Fe 2.73
W (0.8341, 0.5849, 0.3316)  3 Mo 2.72-2.75, 1 Fe 2.72, 4 W 2.72-2.75
W (0.5017, 0.7522, 0.9998)  4 W 2.71-2.76, 3 Mo 2.72-2.73, 1 Fe 2.74
W (0.4983, 0.2478, 0.0002)  4 W 2.71-2.76, 3 Mo 2.72-2.73, 1 Fe 2.74
W (0.8359, 0.0830, 0.3305)  4 Mo 2.71-2.77, 4 W 2.72-2.76
W (0.1641, 0.9170, 0.6695)  4 Mo 2.71-2.77, 4 W 2.72-2.76
Mo (0.6673, 0.1654, 0.6678)  4 W 2.71-2.75, 3 Mo 2.73-2.76, 1 Fe 2.73
W (0.1659, 0.4151, 0.6684)  3 Mo 2.72-2.75, 1 Fe 2.72, 4 W 2.72-2.75
Mo (0.0000, 0.5000, 0.0000)  4 W 2.71-2.73, 2 Mo 2.72, 2 Fe 2.74
Mo (0.3311, 0.3378, 0.3309)  4 W 2.72-2.77, 4 Mo 2.72-2.76
Fe (0.0000, 0.0000, 0.0000)  4 W 2.72-2.74, 4 Mo 2.73-2.74
Mo (0.6689, 0.6622, 0.6691)  4 W 2.72-2.77, 4 Mo 2.72-2.76

Summary:
DOS(E_F) (states/eV/f.u.): 7.0
Calculated formation energy (eV per atom): 0.042
Total moment (μB/f.u.): 2.606
Volume (Å³ per cell): 189.3
Density (g/cm³): 14.4